! ErWO5 PBE+U optimized geometry; values from VASP
! DOS(E_F)   2.109 states/eV/f.u.
! Calculated volume   14.861 Å³ per atom
! E_tot   -52.7 eV/cell
&SYSTEM
  ibrav = 0, nat = 7, ntyp = 3
/
ATOMIC_SPECIES
Er 167.26 Er.upf
W 183.84 W.upf
O 16.00 O.upf
CELL_PARAMETERS angstrom
-1.9228 3.3040 4.0935
1.9228 -3.3040 4.0935
1.9228 3.3040 -4.0935
ATOMIC_POSITIONS angstrom
Er 0.0000 0.0000 0.0000
W 0.0000 0.0000 4.0935
O 1.9228 1.3480 0.0000
O 0.0000 0.0000 2.1874
O 0.0000 3.3040 0.0000
O 0.0000 0.0000 5.9997
O 0.0000 1.9559 4.0935